# 1
First-principles (PBE) data for a relaxed structure of HgAuCl4, as listed in Alexandria.

Values from the calculation:
- energy above the most stable polymorph in this dataset (meV per atom) = 0
- formation energy (no corrections) (eV/atom) = -0.38
- density (Mg/m³) = 3.85

Unit cell a=8.182 b=19.831 c=6.843 alpha=90.00 beta=123.03 gamma=90.00
Space group C2/c (No. 15)
Asymmetric unit:
1 Hg 0.000 0.050 0.250 [4 per cell]
2 Au 0.000 0.251 0.750 [4 per cell]
3 Cl 0.171 0.252 0.176 [8 per cell]
4 Cl 0.223 0.057 0.140 [8 per cell]

# 2
First-principles (PBE) data for a relaxed structure of Hg3AuCl, as listed in Alexandria.

Values from the calculation:
- energy above the most stable polymorph in this dataset (meV per atom) = 687
- formation energy (no corrections) (eV/atom) = 0.52
- density (Mg/m³) = 7.93

Unit cell a=5.591 b=5.591 c=5.591 alpha=90.00 beta=90.00 gamma=90.00
Space group Pm-3m (No. 221)
Asymmetric unit:
1 Hg 0.000 0.000 0.500 [3 per cell]
2 Au 0.500 0.500 0.500 [1 per cell]
3 Cl 0.000 0.000 0.000 [1 per cell]